(1)
DFT (PBE-GGA) results for GdErCoIr after structural relaxation.

* symmetry: F-43m (216)
* energy of formation: -0.507 eV per atom
* total DFT energy (no corrections): -9.16 eV/atom

Lattice parameters (Å, degrees): 6.7888 6.7888 6.7888 90.00 90.00 90.00
Fractional positions:
Gd1 0.0000 0.0000 0.0000
Gd2 0.0000 0.5000 0.5000
Gd3 0.5000 0.0000 0.5000
Gd4 0.5000 0.5000 0.0000
Er1 0.0000 0.0000 0.5000
Er2 0.0000 0.5000 0.0000
Er3 0.5000 0.0000 0.0000
Er4 0.5000 0.5000 0.5000
Co1 0.2500 0.2500 0.2500
Co2 0.2500 0.7500 0.7500
Co3 0.7500 0.2500 0.7500
Co4 0.7500 0.7500 0.2500
Ir1 0.2500 0.2500 0.7500
Ir2 0.2500 0.7500 0.2500
Ir3 0.7500 0.2500 0.2500
Ir4 0.7500 0.7500 0.7500



(2)
DFT (PBE-GGA) results for LiGdErCo after structural relaxation.

* symmetry: F-43m (216)
* energy of formation: -0.072 eV per atom
* total DFT energy (no corrections): -6.99 eV/atom

Lattice parameters (Å, degrees): 6.8689 6.8689 6.8689 90.00 90.00 90.00
Fractional positions:
Li1 0.0000 0.0000 0.0000
Li2 0.0000 0.5000 0.5000
Li3 0.5000 0.0000 0.5000
Li4 0.5000 0.5000 0.0000
Gd1 0.2500 0.2500 0.7500
Gd2 0.2500 0.7500 0.2500
Gd3 0.7500 0.2500 0.2500
Gd4 0.7500 0.7500 0.7500
Er1 0.2500 0.2500 0.2500
Er2 0.2500 0.7500 0.7500
Er3 0.7500 0.2500 0.7500
Er4 0.7500 0.7500 0.2500
Co1 0.0000 0.0000 0.5000
Co2 0.0000 0.5000 0.0000
Co3 0.5000 0.0000 0.0000
Co4 0.5000 0.5000 0.5000



(3)
DFT (PBE-GGA) results for GdErMgCo after structural relaxation.

* symmetry: F-43m (216)
* energy of formation: -0.012 eV per atom
* total DFT energy (no corrections): -6.85 eV/atom

Lattice parameters (Å, degrees): 7.1038 7.1038 7.1038 90.00 90.00 90.00
Fractional positions:
Gd1 0.0000 0.0000 0.0000
Gd2 0.0000 0.5000 0.5000
Gd3 0.5000 0.0000 0.5000
Gd4 0.5000 0.5000 0.0000
Er1 0.0000 0.0000 0.5000
Er2 0.0000 0.5000 0.0000
Er3 0.5000 0.0000 0.0000
Er4 0.5000 0.5000 0.5000
Mg1 0.2500 0.2500 0.7500
Mg2 0.2500 0.7500 0.2500
Mg3 0.7500 0.2500 0.2500
Mg4 0.7500 0.7500 0.7500
Co1 0.2500 0.2500 0.2500
Co2 0.2500 0.7500 0.7500
Co3 0.7500 0.2500 0.7500
Co4 0.7500 0.7500 0.2500



(4)
DFT (PBE-GGA) results for GdErCoNi after structural relaxation.

* symmetry: F-43m (216)
* energy of formation: -0.258 eV per atom
* total DFT energy (no corrections): -8.14 eV/atom

Lattice parameters (Å, degrees): 6.7115 6.7115 6.7115 90.00 90.00 90.00
Fractional positions:
Gd1 0.0000 0.0000 0.0000
Gd2 0.0000 0.5000 0.5000
Gd3 0.5000 0.0000 0.5000
Gd4 0.5000 0.5000 0.0000
Er1 0.0000 0.0000 0.5000
Er2 0.0000 0.5000 0.0000
Er3 0.5000 0.0000 0.0000
Er4 0.5000 0.5000 0.5000
Co1 0.2500 0.2500 0.2500
Co2 0.2500 0.7500 0.7500
Co3 0.7500 0.2500 0.7500
Co4 0.7500 0.7500 0.2500
Ni1 0.2500 0.2500 0.7500
Ni2 0.2500 0.7500 0.2500
Ni3 0.7500 0.2500 0.2500
Ni4 0.7500 0.7500 0.7500